A plane-wave DFT calculation with PBE-GGA was carried out for crystalline TaSiF at its relaxed geometry.

Cell and atoms, written as CIF:
```
data_TaSiF
_chemical_formula_sum 'Ta4 Si4 F4'
_symmetry_space_group_name_H-M 'P 1'
_symmetry_Int_Tables_number 1
_cell_length_a 6.615
_cell_length_b 2.990
_cell_length_c 8.984
_cell_angle_alpha 90.00
_cell_angle_beta 100.90
_cell_angle_gamma 90.00
loop_
_symmetry_equiv_pos_as_xyz
'x,y,z'
loop_
_atom_site_label
_atom_site_fract_x
_atom_site_fract_y
_atom_site_fract_z
_atom_site_occupancy
Si1 0.843 0.000 0.841 1
Si2 0.843 0.500 0.341 1
Si3 0.005 0.000 0.558 1
Si4 0.005 0.500 0.058 1
F1 0.422 0.000 0.201 1
F2 0.422 0.500 0.701 1
F3 0.469 0.000 0.479 1
F4 0.469 0.500 0.979 1
Ta1 0.689 0.000 0.103 1
Ta2 0.689 0.500 0.603 1
Ta3 0.162 0.000 0.298 1
Ta4 0.162 0.500 0.798 1
```

Computed properties:
Distance to the lowest polymorph of the same formula   81 meV/atom
Total DFT energy (no corrections)   -22.69 eV/f.u.
Calculated volume   14.54 Å³ per atom
Formation energy (no corrections)   -1.180 eV/atom